Below is CdGaSe2 after structural relaxation, with properties calculated at the PBE level.

a = 3.971 Å, b = 3.971 Å, c = 19.611 Å
α = 90.00°, β = 90.00°, γ = 60.00°
Positions (direct):
Ga  0.667  0.000  0.667
Se  0.999  0.334  0.254
Cd  0.334  0.666  0.833
Se  0.333  0.666  0.079
Ga  0.000  0.333  0.000
Se  0.334  0.667  0.588
Se  0.666  0.001  0.412
Se  0.001  0.333  0.746
Se  0.667  0.999  0.921
Ga  0.333  0.667  0.333
Cd  0.000  0.334  0.500
Cd  0.666  0.000  0.167

Formation energy from raw total energies   -432 meV/atom
Space group   P3_221 (154)

---

Below is AlIn2Te4 after structural relaxation, with properties calculated at the PBE level.

a = 8.873 Å, b = 12.467 Å, c = 12.467 Å
α = 90.00°, β = 90.00°, γ = 90.00°
Positions (direct):
In  0.500  0.287  0.291
In  0.000  0.791  0.787
Te  0.500  0.926  0.625
Te  0.750  0.339  0.161
Al  0.250  0.000  0.500
Al  0.750  0.500  0.000
In  0.000  0.709  0.287
Te  0.250  0.161  0.661
Te  0.500  0.426  0.875
Te  0.000  0.875  0.574
Te  0.750  0.661  0.839
Te  0.250  0.839  0.339
Te  0.250  0.661  0.839
In  0.500  0.787  0.209
Te  0.250  0.339  0.161
In  0.000  0.209  0.213
Te  0.000  0.125  0.426
Te  0.500  0.074  0.375
Te  0.000  0.625  0.074
Te  0.750  0.839  0.339
Te  0.500  0.574  0.125
In  0.500  0.213  0.791
Al  0.250  0.500  0.000
In  0.000  0.291  0.713
Te  0.750  0.161  0.661
Te  0.000  0.375  0.926
In  0.500  0.713  0.709
Al  0.750  0.000  0.500

Formation energy from raw total energies   -72 meV/atom
Space group   P4_2/mbc (135)

---

Below is Cu2Pt6Au after structural relaxation, with properties calculated at the PBE level.

a = 3.938 Å, b = 8.347 Å, c = 8.347 Å
α = 90.00°, β = 90.00°, γ = 90.00°
Positions (direct):
Pt  0.500  0.833  0.992
Cu  0.000  0.336  0.836
Pt  0.000  0.667  0.492
Cu  0.500  0.836  0.664
Pt  0.000  0.008  0.833
Pt  0.000  0.992  0.167
Au  0.000  0.000  0.500
Pt  0.500  0.825  0.325
Pt  0.500  0.508  0.667
Pt  0.500  0.167  0.008
Cu  0.500  0.164  0.336
Au  0.500  0.500  0.000
Pt  0.000  0.333  0.508
Pt  0.500  0.175  0.675
Pt  0.000  0.675  0.825
Cu  0.000  0.664  0.164
Pt  0.500  0.492  0.333
Pt  0.000  0.325  0.175

Space group   P4_2/mnm (136)
Energy of formation   -0.07 eV per atom

---

Below is CaTbAgHg after structural relaxation, with properties calculated at the PBE level.

a = 5.241 Å, b = 5.241 Å, c = 5.241 Å
α = 60.00°, β = 60.00°, γ = 60.00°
Positions (direct):
Ca  0.500  0.500  0.500
Ag  0.250  0.250  0.250
Hg  0.750  0.750  0.750
Tb  0.000  0.000  0.000

Space group   F-43m (216)
Energy of formation   -0.41 eV per atom

---

Below is K2PmB2O6 after structural relaxation, with properties calculated at the PBE level.

a = 5.685 Å, b = 5.685 Å, c = 6.533 Å
α = 90.00°, β = 90.00°, γ = 120.00°
Positions (direct):
O  0.806  0.613  0.209
O  0.387  0.194  0.209
K  0.333  0.667  0.327
B  0.667  0.333  0.204
Pm  0.000  0.000  0.000
B  0.333  0.667  0.796
O  0.194  0.387  0.791
O  0.806  0.194  0.209
O  0.613  0.806  0.791
K  0.667  0.333  0.673
O  0.194  0.806  0.791

Formation energy from raw total energies   -2403 meV/atom
Space group   P-3m1 (164)

---

Number 1: DFT total energy -37.9 eV for the cell shown, magnetization 0.000 μB per cell. Number 2: DFT total energy -89.2 eV for the cell shown, magnetization 0.000 μB per cell. Number 3: DFT total energy -96.6 eV for the cell shown, magnetization 0.000 μB per cell. Number 4: DFT total energy -11.4 eV for the cell shown, magnetization 0.000 μB per cell. Number 5: DFT total energy -76.5 eV for the cell shown, magnetization 1.020 μB per cell.